1.
Compound: PrSm4Ho7
Source: Alexandria via LeMat-Bulk
Functional: PBE
Structure: optimized geometry

Output
Density of states at the Fermi level ... 19.77 states/eV/cell
Energy of formation from the pure elements ... 0.26 eV/atom
Crystal system ... monoclinic
Polymorph energy (0 for the lowest one) ... 204 kJ/mol of formula units
Magnetization ... 0.0 μB/f.u.

Unit cell a=6.749 b=6.749 c=12.717 alpha=114.96 beta=114.96 gamma=51.89
Positions (direct):
Pr: 0.000 0.000 0.000
Sm: 0.237 0.237 0.675
Sm: 0.366 0.366 0.224
Sm: 0.634 0.634 0.776
Sm: 0.763 0.763 0.325
Ho: 0.064 0.064 0.323
Ho: 0.211 0.211 0.923
Ho: 0.367 0.367 0.501
Ho: 0.500 0.500 0.000
Ho: 0.633 0.633 0.499
Ho: 0.789 0.789 0.077
Ho: 0.936 0.936 0.677

---

2.
Compound: PuTa4Os5
Source: Alexandria via LeMat-Bulk
Functional: PBE
Structure: optimized geometry

Output
Density of states at the Fermi level ... 8.76 states/eV/cell
Energy of formation from the pure elements ... -0.24 eV/atom
Crystal system ... tetragonal
Magnetization ... 4.6 μB/f.u.

Unit cell a=3.115 b=3.115 c=17.480 alpha=90.00 beta=90.00 gamma=90.00
Positions (direct):
Pu: 0.000 0.000 0.000
Ta: 0.000 0.000 0.210
Ta: 0.000 0.000 0.404
Ta: 0.000 0.000 0.596
Ta: 0.000 0.000 0.790
Os: 0.500 0.500 0.125
Os: 0.500 0.500 0.309
Os: 0.500 0.500 0.500
Os: 0.500 0.500 0.691
Os: 0.500 0.500 0.875

---

3.
Compound: YSc2In2
Source: Alexandria via LeMat-Bulk
Functional: PBE
Structure: optimized geometry

Output
Density of states at the Fermi level ... 6.40 states/eV/cell
Energy of formation from the pure elements ... -0.18 eV/atom
Crystal system ... trigonal
Polymorph energy (0 for the lowest one) ... 78 kJ/mol of formula units
Magnetization ... 0.0 μB/f.u.

Unit cell a=5.053 b=5.053 c=6.217 alpha=90.00 beta=90.00 gamma=120.00
Positions (direct):
Y: 0.000 0.000 0.000
Sc: 0.333 0.667 0.657
Sc: 0.667 0.333 0.343
In: 0.333 0.667 0.191
In: 0.667 0.333 0.809

---

4.
Compound: TbPmHoAg
Source: Alexandria via LeMat-Bulk
Functional: PBE
Structure: optimized geometry

Output
Density of states at the Fermi level ... 24.77 states/eV/cell
Energy of formation from the pure elements ... 0.10 eV/atom
Crystal system ... cubic
Polymorph energy (0 for the lowest one) ... 90 kJ/mol of formula units
Magnetization ... 0.0 μB/f.u.

Unit cell a=7.655 b=7.655 c=7.655 alpha=90.00 beta=90.00 gamma=90.00
Positions (direct):
Tb: 0.000 0.000 0.000
Tb: 0.000 0.500 0.500
Tb: 0.500 0.000 0.500
Tb: 0.500 0.500 0.000
Pm: 0.250 0.250 0.250
Pm: 0.250 0.750 0.750
Pm: 0.750 0.250 0.750
Pm: 0.750 0.750 0.250
Ho: 0.000 0.000 0.500
Ho: 0.000 0.500 0.000
Ho: 0.500 0.000 0.000
Ho: 0.500 0.500 0.500
Ag: 0.250 0.250 0.750
Ag: 0.250 0.750 0.250
Ag: 0.750 0.250 0.250
Ag: 0.750 0.750 0.750